1.
Density functional theory data (PBE-GGA) for a relaxed structure of MnMoRu2.

formation enthalpy at 0 K = 0.10 eV per atom
density of states at the Fermi level = 4.51 states/eV/f.u.
ΔE to the lowest computed polymorph = 0.27 eV per formula unit
total magnetic moment = 0.383 μB per atom

a = 8.827 Å, b = 2.714 Å, c = 4.721 Å
α = 90.00°, β = 99.87°, γ = 90.00°
Space group C2/m (No. 12)
Symmetry-distinct sites (fractional):
Mn 0.000 0.000 0.000
Mo 0.000 0.500 0.500
Ru 0.244 0.500 0.234

=====

2.
Density functional theory data (PBE-GGA) for a relaxed structure of MnMoRu.

formation enthalpy at 0 K = 0.21 eV per atom
density of states at the Fermi level = 3.26 states/eV/f.u.
ΔE to the lowest computed polymorph = 0.34 eV per formula unit
total magnetic moment = 1.009 μB per atom

a = 2.7723 Å, b = 2.7723 Å, c = 6.5304 Å
α = 90.00°, β = 90.00°, γ = 120.00°
Space group P3m1 (No. 156)
Symmetry-distinct sites (fractional):
Mn 0.0000 0.0000 0.0000
Mo 0.6667 0.3333 0.3422
Ru 0.3333 0.6667 0.6744

=====

3.
Density functional theory data (PBE-GGA) for a relaxed structure of Mn3MoRu.

formation enthalpy at 0 K = 1.45 eV per atom
density of states at the Fermi level = 5.30 states/eV/f.u.
ΔE to the lowest computed polymorph = 0.00 eV per formula unit
total magnetic moment = 1.605 μB per atom

a = 4.620 Å, b = 4.620 Å, c = 4.620 Å
α = 90.00°, β = 90.00°, γ = 90.00°
Space group Pm-3m (No. 221)
Symmetry-distinct sites (fractional):
Mn 0.000 0.000 0.500
Mo 0.500 0.500 0.500
Ru 0.000 0.000 0.000

=====

4.
Density functional theory data (PBE-GGA) for a relaxed structure of Mn4MoRu.

formation enthalpy at 0 K = -0.03 eV per atom
density of states at the Fermi level = 2.89 states/eV/f.u.
total magnetic moment = 0.000 μB per atom

a = 6.623 Å, b = 6.623 Å, c = 6.623 Å
α = 90.00°, β = 90.00°, γ = 90.00°
Space group F-43m (No. 216)
Symmetry-distinct sites (fractional):
Mn 0.124 0.124 0.376
Mo 0.000 0.000 0.000
Ru 0.250 0.250 0.750

=====

5.
Density functional theory data (PBE-GGA) for a relaxed structure of MnMoRu.

formation enthalpy at 0 K = 0.56 eV per atom
density of states at the Fermi level = 3.66 states/eV/f.u.
ΔE to the lowest computed polymorph = 1.41 eV per formula unit
total magnetic moment = 0.001 μB per atom

a = 5.696 Å, b = 5.696 Å, c = 5.696 Å
α = 90.00°, β = 90.00°, γ = 90.00°
Space group F-43m (No. 216)
Symmetry-distinct sites (fractional):
Mn 0.000 0.000 0.000
Mo 0.250 0.250 0.750
Ru 0.250 0.250 0.250

=====

6.
Density functional theory data (PBE-GGA) for a relaxed structure of MnMoRu2.

formation enthalpy at 0 K = 1.28 eV per atom
density of states at the Fermi level = 3.60 states/eV/f.u.
ΔE to the lowest computed polymorph = 5.01 eV per formula unit
total magnetic moment = 0.331 μB per atom

a = 5.436 Å, b = 5.436 Å, c = 10.810 Å
α = 90.00°, β = 90.00°, γ = 90.00°
Space group I-42d (No. 122)
Symmetry-distinct sites (fractional):
Mn 0.000 0.000 0.000
Mo 0.000 0.000 0.500
Ru 0.225 0.250 0.125